Entry from Alexandria via LeMat-Bulk: a geometry-optimized V2TcPdN structure (PBE-GGA).

Output
The symmetry is P4/mmm.

Cell and atoms, written as POSCAR:
```
V2TcPdN
1.0
3.9646 0.0000 0.0000
0.0000 3.9646 0.0000
0.0000 0.0000 4.0029
V Tc Pd N
2 1 1 1
direct
0.0000 0.5000 0.0000
0.5000 0.0000 0.0000
0.0000 0.0000 0.5000
0.5000 0.5000 0.5000
0.0000 0.0000 0.0000
```


Entry from Alexandria via LeMat-Bulk: a geometry-optimized VTc2PdN structure (PBE-GGA).

Output
The symmetry is P4/mmm.

Cell and atoms, written as POSCAR:
```
VTc2PdN
1.0
4.0390 0.0000 0.0000
0.0000 4.0390 0.0000
0.0000 0.0000 3.9508
V Tc Pd N
1 2 1 1
direct
0.0000 0.0000 0.0000
0.0000 0.5000 0.5000
0.5000 0.0000 0.5000
0.5000 0.5000 0.0000
0.0000 0.0000 0.5000
```


ΔE_f (raw): -2.1; -1.1 (eV/f.u.)